Here is a geometry-optimized Be2Tl3RhO6 structure from Alexandria via LeMat-Bulk. Energies are from GGA-PBE.

Unit cell a=5.4252 b=5.4252 c=7.1630 alpha=90.00 beta=90.00 gamma=120.00
Last column: nearest neighbours and their distance in Å.
Positions (direct):
1 Be 0.6667 0.3333 0.6547  3 O 1.54
2 Be 0.3333 0.6667 0.3453  3 O 1.54
3 Rh 0.0000 0.0000 0.5000  6 O 1.99
4 O 0.1693 0.8307 0.3333  1 Be 1.54
5 O 0.1693 0.3386 0.3333  1 Be 1.54
6 O 0.6614 0.8307 0.3333  1 Be 1.54
7 O 0.8307 0.1693 0.6667  1 Be 1.54
8 O 0.8307 0.6614 0.6667  1 Be 1.54
9 O 0.3386 0.1693 0.6667  1 Be 1.54
10 Tl 0.0000 0.0000 0.0000  6 O 2.87
11 Tl 0.6667 0.3333 0.2399  6 O 2.79, 1 Be 2.97
12 Tl 0.3333 0.6667 0.7601  6 O 2.79, 1 Be 2.97

Properties
Its uncorrected formation energy is -1.166 eV per atom. The volume is 183 Å³/f.u. As for the crystal system: trigonal.